1.
! AcTh2Cu6 | the Alexandria database | PBE | relaxed; values from VASP
! E_form	-167.5	meV per atom
! magnetic moment	0.00	μB per cell
&SYSTEM
  ibrav = 0, nat = 9, ntyp = 3
/
ATOMIC_SPECIES
Ac 227.00 Ac.upf
Th 232.04 Th.upf
Cu 63.55 Cu.upf
CELL_PARAMETERS angstrom
3.699 0.102 -0.152
-0.336 6.594 -3.741
0.313 -0.050 7.580
ATOMIC_POSITIONS angstrom
Ac 0.000 0.000 0.000
Th 3.796 2.266 3.654
Th -0.119 4.380 0.033
Cu 1.843 2.262 1.221
Cu 1.834 4.384 2.466
Cu 1.721 6.612 1.202
Cu 1.941 4.366 5.028
Cu 2.050 2.229 6.240
Cu 1.957 0.034 2.485

2.
! LaMgS | the Alexandria database | PBE | relaxed; values from VASP
! magnetic moment	0.00	μB per cell
! energy	-28.402	eV for the cell shown
&SYSTEM
  ibrav = 0, nat = 6, ntyp = 3
/
ATOMIC_SPECIES
La 138.91 La.upf
S 32.06 S.upf
Mg 24.30 Mg.upf
CELL_PARAMETERS angstrom
4.995 0.000 0.000
2.498 4.326 0.000
2.498 1.442 7.815
ATOMIC_POSITIONS angstrom
La 4.995 2.884 1.710
La 4.995 2.884 6.105
S 2.498 1.442 1.191
S 7.493 4.326 6.625
Mg 7.493 4.326 4.046
Mg 2.498 1.442 3.769

3.
! CoCu2Os | the Alexandria database | PBE | relaxed; values from VASP
! E_form	322.1	meV per atom
! magnetic moment	1.62	μB per cell
&SYSTEM
  ibrav = 0, nat = 4, ntyp = 3
/
ATOMIC_SPECIES
Co 58.93 Co.upf
Cu 63.55 Cu.upf
Os 190.23 Os.upf
CELL_PARAMETERS angstrom
2.607 0.000 0.000
0.000 4.341 0.000
0.000 0.000 4.444
ATOMIC_POSITIONS angstrom
Co 0.000 2.170 2.222
Cu 0.000 0.000 0.000
Cu 1.304 2.170 0.000
Os 1.304 0.000 2.222

4.
! Xe | the Alexandria database | PBE | relaxed; values from VASP
! E_form	0.0	meV per atom
! magnetic moment	0.00	μB per cell
&SYSTEM
  ibrav = 0, nat = 3, ntyp = 1
/
ATOMIC_SPECIES
Xe 131.29 Xe.upf
CELL_PARAMETERS angstrom
-1.282 -1.907 4.140
-1.293 -4.551 0.198
10.320 -5.243 3.488
ATOMIC_POSITIONS angstrom
Xe 0.000 0.000 0.000
Xe 4.880 -8.518 5.700
Xe 2.865 -3.183 2.127